(1)
Material: Y2FeRe
Method: DFT, PBE
State: optimized geometry

a = 5.5756 Å, b = 5.5756 Å, c = 5.5756 Å
α = 136.11°, β = 136.11°, γ = 63.81°
Closest atoms and distances in Å follow each position.
Sites, in units of the cell vectors:
Y: 0.0000 0.0000 0.0000  4 Re 2.95, 4 Fe 3.15, 4 Y 3.15
Y: 0.7500 0.2500 0.5000  4 Fe 2.95, 4 Re 3.15, 4 Y 3.15
Fe: 0.2500 0.7500 0.5000  8 Y 2.95-3.15, 4 Re 3.15
Re: 0.5000 0.5000 0.0000  8 Y 2.95-3.15, 4 Fe 3.15

Crystal system ... tetragonal
SG ... No. 119
Total DFT energy (no corrections) ... -31.83 eV for the cell shown
Volume ... 20.55 A^3/atom
Energy of formation ... 48.6 kJ/mol of atoms
Offset from the most stable computed form ... 455 meV per atom

(2)
Material: YFe2Re
Method: DFT, PBE
State: optimized geometry

a = 2.8175 Å, b = 4.0355 Å, c = 5.9303 Å
α = 90.00°, β = 103.49°, γ = 90.00°
Closest atoms and distances in Å follow each position.
Sites, in units of the cell vectors:
Y: 0.0000 0.0000 0.0000  2 Y 2.82, 4 Fe 2.94, 2 Re 2.97
Fe: 0.2491 0.5000 0.6851  1 Fe 2.31, 2 Re 2.48
Fe: 0.7509 0.5000 0.3149  1 Fe 2.31, 2 Re 2.48
Re: 0.5000 0.0000 0.5000  4 Fe 2.48

Crystal system ... monoclinic
SG ... No. 10
Total DFT energy (no corrections) ... -34.61 eV for the cell shown
Volume ... 16.39 A^3/atom
Energy of formation ... 29.6 kJ/mol of atoms
Offset from the most stable computed form ... 195 meV per atom

(3)
Material: Y2FeRe
Method: DFT, PBE
State: optimized geometry

a = 3.1215 Å, b = 3.1215 Å, c = 8.6187 Å
α = 90.00°, β = 90.00°, γ = 90.00°
Closest atoms and distances in Å follow each position.
Sites, in units of the cell vectors:
Y: 0.0000 0.0000 0.0000  4 Re 3.06, 4 Y 3.12, 1 Fe 3.33
Y: 0.5000 0.5000 0.3789  4 Fe 2.99, 4 Y 3.12, 1 Re 3.24
Fe: 0.0000 0.0000 0.6136  4 Re 2.52
Re: 0.5000 0.5000 0.7548  4 Fe 2.52

Crystal system ... tetragonal
SG ... No. 99
Total DFT energy (no corrections) ... -33.11 eV for the cell shown
Volume ... 20.99 A^3/atom
Energy of formation ... 17.5 kJ/mol of atoms
Offset from the most stable computed form ... 133 meV per atom

(4)
Material: YFe2Re
Method: DFT, PBE
State: optimized geometry

a = 4.7922 Å, b = 4.7922 Å, c = 5.0201 Å
α = 105.29°, β = 105.29°, γ = 36.22°
Closest atoms and distances in Å follow each position.
Sites, in units of the cell vectors:
Y: 0.0000 0.0000 0.0000  7 Fe 2.83-2.94, 2 Y 2.98, 3 Re 3.04
Fe: 0.4947 0.4947 0.4974  2 Fe 2.47, 2 Re 2.50
Fe: 0.7754 0.7754 0.2931  2 Re 2.46, 2 Fe 2.47
Re: 0.2227 0.2227 0.6467  4 Fe 2.46-2.50

Crystal system ... monoclinic
SG ... No. 8
Total DFT energy (no corrections) ... -34.42 eV for the cell shown
Volume ... 16.36 A^3/atom
Energy of formation ... 34.1 kJ/mol of atoms
Offset from the most stable computed form ... 242 meV per atom

(5)
Material: YFe2Re
Method: DFT, PBE
State: optimized geometry

a = 5.3875 Å, b = 5.3875 Å, c = 5.3875 Å
α = 147.65°, β = 130.21°, γ = 60.63°
Closest atoms and distances in Å follow each position.
Sites, in units of the cell vectors:
Y: 0.0000 0.0000 0.0000  6 Fe 2.72-2.97, 2 Re 2.97, 2 Y 3.00
Fe: 0.4979 0.4979 0.0000  2 Re 2.55, 2 Fe 2.59, 4 Y 2.72
Fe: 0.7250 0.2250 0.5000  2 Fe 2.59, 4 Re 2.76
Re: 0.2761 0.7761 0.5000  6 Fe 2.55-2.76

Crystal system ... orthorhombic
SG ... No. 44
Total DFT energy (no corrections) ... -34.40 eV for the cell shown
Volume ... 15.83 A^3/atom
Energy of formation ... 34.7 kJ/mol of atoms
Offset from the most stable computed form ... 248 meV per atom

(6)
Material: Y2FeRe
Method: DFT, PBE
State: optimized geometry

a = 6.0560 Å, b = 6.0560 Å, c = 6.0560 Å
α = 102.81°, β = 102.81°, γ = 123.83°
Closest atoms and distances in Å follow each position.
Sites, in units of the cell vectors:
Y: 0.0952 0.6250 0.9702  2 Fe 2.62, 2 Y 2.89, 2 Re 2.92
Y: 0.3750 0.3452 0.4702  2 Fe 2.62, 2 Y 2.89, 2 Re 2.92
Y: 0.6548 0.1250 0.0298  2 Fe 2.62, 2 Y 2.89, 2 Re 2.92
Y: 0.8750 0.9048 0.5298  2 Fe 2.62, 2 Y 2.89, 2 Re 2.92
Fe: 0.0000 0.0000 0.0000  4 Y 2.62, 2 Re 2.85
Fe: 0.7500 0.2500 0.5000  4 Y 2.62, 2 Re 2.85
Re: 0.2500 0.7500 0.5000  2 Fe 2.85, 4 Y 2.92
Re: 0.5000 0.5000 0.0000  2 Fe 2.85, 4 Y 2.92

Crystal system ... tetragonal
SG ... No. 122
Total DFT energy (no corrections) ... -60.80 eV for the cell shown
Volume ... 20.35 A^3/atom
Energy of formation ... 83.0 kJ/mol of atoms
Offset from the most stable computed form ... 812 meV per atom

(7)
Material: YFe2Re
Method: DFT, PBE
State: optimized geometry

a = 4.5245 Å, b = 4.5245 Å, c = 3.0090 Å
α = 90.00°, β = 90.00°, γ = 90.00°
Closest atoms and distances in Å follow each position.
Sites, in units of the cell vectors:
Y: 0.0000 0.0000 0.0000  8 Fe 2.72, 2 Y 3.01
Fe: 0.0000 0.5000 0.5000  4 Re 2.72, 4 Y 2.72, 2 Fe 3.01
Fe: 0.5000 0.0000 0.5000  4 Re 2.72, 4 Y 2.72, 2 Fe 3.01
Re: 0.5000 0.5000 0.0000  8 Fe 2.72, 2 Re 3.01

Crystal system ... tetragonal
SG ... No. 123
Total DFT energy (no corrections) ... -34.39 eV for the cell shown
Volume ... 15.40 A^3/atom
Energy of formation ... 34.9 kJ/mol of atoms
Offset from the most stable computed form ... 250 meV per atom

(8)
Material: YFe2Re
Method: DFT, PBE
State: optimized geometry

a = 3.0135 Å, b = 3.0135 Å, c = 7.0457 Å
α = 90.00°, β = 90.00°, γ = 90.00°
Closest atoms and distances in Å follow each position.
Sites, in units of the cell vectors:
Y: 0.0000 0.0000 0.0000  4 Fe 3.00, 4 Y 3.01, 4 Re 3.10
Fe: 0.0000 0.0000 0.4822  4 Fe 2.49, 4 Re 2.55
Fe: 0.5000 0.5000 0.3006  4 Fe 2.49, 1 Re 2.67
Re: 0.5000 0.5000 0.6802  5 Fe 2.55-2.67

Crystal system ... tetragonal
SG ... No. 99
Total DFT energy (no corrections) ... -34.91 eV for the cell shown
Volume ... 16.00 A^3/atom
Energy of formation ... 22.5 kJ/mol of atoms
Offset from the most stable computed form ... 121 meV per atom

(9)
Material: YFe2Re
Method: DFT, PBE
State: optimized geometry

a = 5.0221 Å, b = 5.0221 Å, c = 2.7622 Å
α = 98.64°, β = 98.64°, γ = 111.25°
Closest atoms and distances in Å follow each position.
Sites, in units of the cell vectors:
Y: 0.0000 0.0000 0.0000  4 Fe 2.68, 2 Y 2.76, 2 Re 2.84
Fe: 0.0000 0.5000 0.5000  2 Re 2.68, 2 Y 2.68, 4 Fe 2.76-2.84
Fe: 0.5000 0.0000 0.5000  2 Re 2.68, 2 Y 2.68, 4 Fe 2.76-2.84
Re: 0.5000 0.5000 0.0000  4 Fe 2.68, 2 Re 2.76, 2 Y 2.84

Crystal system ... monoclinic
SG ... No. 12
Total DFT energy (no corrections) ... -34.05 eV for the cell shown
Volume ... 15.65 A^3/atom
Energy of formation ... 43.2 kJ/mol of atoms
Offset from the most stable computed form ... 336 meV per atom

(10)
Material: Y2FeRe
Method: DFT, PBE
State: optimized geometry

a = 7.7761 Å, b = 7.7761 Å, c = 7.7761 Å
α = 29.26°, β = 29.26°, γ = 29.26°
Closest atoms and distances in Å follow each position.
Sites, in units of the cell vectors:
Y: 0.0000 0.0000 0.0000  3 Fe 2.93, 3 Re 3.17
Y: 0.1857 0.1857 0.1857  3 Re 2.98, 3 Fe 3.22
Fe: 0.7497 0.7497 0.7497  3 Re 2.30
Re: 0.4327 0.4327 0.4327  3 Fe 2.30

Crystal system ... trigonal
SG ... No. 160
Total DFT energy (no corrections) ... -33.65 eV for the cell shown
Volume ... 24.84 A^3/atom
Energy of formation ... 4.6 kJ/mol of atoms
Offset from the most stable computed form ... 0 meV per atom

| no. | spin magnetization (μB/f.u.) |
| --- | --- |
| 1 | 2.81 |
| 2 | 3.63 |
| 3 | 0.87 |
| 4 | 3.49 |
| 5 | 3.84 |
| 6 | 0.00 |
| 7 | 3.25 |
| 8 | 3.73 |
| 9 | 4.08 |
| 10 | 0.00 |